! SnWF3 (PBE+U, optimized geometry); values from VASP
! * magnetic moment: 3.0 μB per formula unit
! * volume: 86 Å³/f.u.
! * relative energy among the computed polymorphs: 0 meV per atom
&SYSTEM
  ibrav = 0, nat = 5, ntyp = 3
/
ATOMIC_SPECIES
Sn 118.71 Sn.upf
W 183.84 W.upf
F 19.00 F.upf
CELL_PARAMETERS angstrom
4.418 0.000 0.000
0.000 4.418 0.000
0.000 0.000 4.418
ATOMIC_POSITIONS crystal
Sn 0.000 0.000 0.000
W 0.500 0.500 0.500
F 0.000 0.500 0.500
F 0.500 0.000 0.500
F 0.500 0.500 0.000